Material: TbSmMgCd
Method: DFT, PBE
State: optimized geometry

It has space group Pmmm (No. 47), with a = 3.8605 Å, b = 5.3146 Å, c = 5.3440 Å, α = 90.00°, β = 90.00° and γ = 90.00°. The asymmetric unit holds Tb at (0.0000, 0.0000, 0.0000), Sm at (0.0000, 0.5000, 0.5000), Mg at (0.5000, 0.0000, 0.5000) and Cd at (0.5000, 0.5000, 0.0000).

For the total magnetic moment, the calculation gives 0.00 μB per cell. The calculation puts the formation energy at -0.82 eV per formula unit. As for the density of states at the Fermi level: 4.7 states/eV/f.u.



Material: La3CrSe
Method: DFT, PBE
State: optimized geometry

It has space group Pm-3m (No. 221), with a = 5.2221 Å, b = 5.2221 Å, c = 5.2221 Å, α = 90.00°, β = 90.00° and γ = 90.00°. The asymmetric unit holds La at (0.0000, 0.0000, 0.5000), Cr at (0.0000, 0.0000, 0.0000) and Se at (0.5000, 0.5000, 0.5000).

For the total magnetic moment, the calculation gives 0.00 μB per cell. For the total energy, the calculation gives -29.0 eV per cell. As for the density of states at the Fermi level: 4.3 states/eV/f.u.



Material: LaHfNbTl2
Method: DFT, PBE
State: optimized geometry

It has space group P4/mmm (No. 123), with a = 5.4516 Å, b = 5.4516 Å, c = 5.4343 Å, α = 90.00°, β = 90.00° and γ = 90.00°. The asymmetric unit holds La at (0.0000, 0.0000, 0.0000), Hf at (0.0000, 0.0000, 0.5000), Nb at (0.5000, 0.5000, 0.0000) and Tl at (0.0000, 0.5000, 0.5000).

For the total magnetic moment, the calculation gives 0.00 μB per cell. The calculation puts the formation energy at 6.89 eV per formula unit. As for the density of states at the Fermi level: 8.1 states/eV/f.u.



Material: CaEr3Pd4
Method: DFT, PBE
State: optimized geometry

It has space group Pmma (No. 51), with a = 9.9337 Å, b = 6.8742 Å, c = 4.9669 Å, α = 90.00°, β = 90.00° and γ = 90.00°. The asymmetric unit holds Ca at (0.0000, 0.0000, 0.0000), Er at (0.0000, 0.5000, 0.0000), Er at (0.2500, 0.0000, 0.4994), Er at (0.2500, 0.5000, 0.4994), Pd at (0.0000, 0.2611, 0.5000) and Pd at (0.2500, 0.2612, 0.9989).

For the total magnetic moment, the calculation gives 0.00 μB per cell. The calculation puts the formation energy at -6.96 eV per formula unit. As for the density of states at the Fermi level: 3.7 states/eV/f.u.



Material: Tb2Dy3PuTe6
Method: DFT, PBE
State: optimized geometry

It has space group C2/m (No. 12), with a = 19.0721 Å, b = 4.3512 Å, c = 8.7763 Å, α = 90.00°, β = 103.44° and γ = 90.00°. The asymmetric unit holds Tb at (0.1640, 0.0000, 0.3292), Dy at (0.0000, 0.5000, 0.5000), Dy at (0.1656, 0.0000, 0.8347), Pu at (0.0000, 0.5000, 0.0000), Te at (0.0009, 0.0000, 0.7469), Te at (0.1684, 0.5000, 0.0831) and Te at (0.1676, 0.5000, 0.5841).

For the total magnetic moment, the calculation gives 12.29 μB per cell. For the total energy, the calculation gives -143.1 eV per cell. As for the density of states at the Fermi level: 11.7 states/eV/f.u.



Material: CaZn
Method: DFT, PBE
State: optimized geometry

It has space group P4_2/mnm (No. 136), with a = 6.0588 Å, b = 6.0588 Å, c = 6.1085 Å, α = 90.00°, β = 90.00° and γ = 90.00°. The asymmetric unit holds Ca at (0.2036, 0.2036, 0.0000) and Zn at (0.1847, 0.1847, 0.5000).

For the total magnetic moment, the calculation gives 0.00 μB per cell. The calculation puts the formation energy at -0.14 eV per formula unit. As for the density of states at the Fermi level: 1.1 states/eV/f.u.



Look up the total magnetic moment of the fifth one.
12.29 μB per cell



The highest total magnetic moment belongs to which entry?
Tb2Dy3PuTe6



Which formula does entry 3 have?
LaHfNbTl2